P | A plane-wave DFT calculation with PBE was carried out for a relaxed SnTePdN2 crystal.

Output
**Crystal system**: tetragonal
**Fermi-level density of states**: 0.43 states/eV per atom

Cell: 4.2204 4.2204 5.5435 Å, 90.00 90.00 90.00°
Last column: nearest neighbours and their distance in Å.
Space group P4/mmm (No. 123)
Symmetry-distinct sites (fractional):
1 Sn 0.0000 0.0000 0.0000 x1  4 Te 2.98
2 Te 0.5000 0.5000 0.0000 x1  2 Pd 2.77, 4 Sn 2.98
3 Pd 0.5000 0.5000 0.5000 x1  4 N 2.11
4 N 0.0000 0.5000 0.5000 x2  2 Pd 2.11

=====

Q | A plane-wave DFT calculation with PBE was carried out for a relaxed SnTePdN2 crystal.

Output
**Crystal system**: tetragonal
**Fermi-level density of states**: 0.56 states/eV per atom

Cell: 4.0786 4.0786 6.2498 Å, 90.00 90.00 90.00°
Last column: nearest neighbours and their distance in Å.
Space group P4/mmm (No. 123)
Symmetry-distinct sites (fractional):
1 Sn 0.0000 0.0000 0.0000 x1  4 N 2.04
2 Te 0.0000 0.0000 0.5000 x1  4 Pd 2.88, 2 Sn 3.12
3 Pd 0.5000 0.5000 0.5000 x1  4 Te 2.88
4 N 0.0000 0.5000 0.0000 x2  2 Sn 2.04

=====

Of them, P has the lowest stability.

=====

P | A plane-wave DFT calculation with PBE was carried out for a relaxed Sr4Pd2N crystal.

Output
**Crystal system**: tetragonal
**Fermi-level density of states**: 0.51 states/eV per atom

Cell: 5.2305 5.2305 24.3013 Å, 90.00 90.00 90.00°
Last column: nearest neighbours and their distance in Å.
Space group I4/mmm (No. 139)
Symmetry-distinct sites (fractional):
1 Sr 0.0000 0.0000 0.1954 x4  1 Pd 2.70
2 Sr 0.0000 0.5000 0.0000 x4  2 N 2.62
3 Pd 0.0000 0.0000 0.0842 x4  1 N 2.05
4 N 0.0000 0.0000 0.0000 x2  2 Pd 2.05

=====

Q | A plane-wave DFT calculation with PBE was carried out for a relaxed Sr4Pd2N crystal.

Output
**Crystal system**: tetragonal
**Fermi-level density of states**: 0.54 states/eV per atom

Cell: 5.1095 5.1095 15.6351 Å, 90.00 90.00 90.00°
Last column: nearest neighbours and their distance in Å.
Space group I4/mmm (No. 139)
Symmetry-distinct sites (fractional):
1 Sr 0.0000 0.0000 0.1683 x4  1 N 2.63
2 Sr 0.0000 0.5000 0.0000 x4  2 N 2.55
3 Pd 0.0000 0.0000 0.3661 x4  5 Sr 3.09-3.30
4 N 0.0000 0.0000 0.0000 x2  6 Sr 2.55-2.63

=====

Of them, P has the lowest stability.

=====

P | A plane-wave DFT calculation with PBE was carried out for a relaxed Ta2PdN crystal.

Output
**Crystal system**: trigonal
**Fermi-level density of states**: 0.47 states/eV per atom

Cell: 3.0894 3.0894 20.5892 Å, 90.00 90.00 120.00°
Last column: nearest neighbours and their distance in Å.
Space group R3m (No. 160, hexagonal axes)
Symmetry-distinct sites (fractional):
1 Ta 0.0000 0.0000 0.0000 x3  3 N 2.16
2 Ta 0.0000 0.0000 0.2148 x3  3 N 2.16
3 Pd 0.0000 0.0000 0.4398 x3  6 Ta 2.83-2.86, 6 Pd 3.09
4 N 0.0000 0.0000 0.6076 x3  6 Ta 2.16

=====

Q | A plane-wave DFT calculation with PBE was carried out for a relaxed Ta2PdN crystal.

Output
**Crystal system**: tetragonal
**Fermi-level density of states**: 0.77 states/eV per atom

Cell: 5.1509 5.1509 10.7017 Å, 90.00 90.00 90.00°
Last column: nearest neighbours and their distance in Å.
Space group I-42d (No. 122)
Symmetry-distinct sites (fractional):
1 Ta 0.1554 0.2500 0.1250 x8  2 N 2.02
2 Pd 0.0000 0.0000 0.5000 x4  4 Ta 2.57
3 N 0.0000 0.0000 0.0000 x4  4 Ta 2.02

=====

R | A plane-wave DFT calculation with PBE was carried out for a relaxed Ta2PdN crystal.

Output
**Crystal system**: cubic
**Fermi-level density of states**: 0.63 states/eV per atom

Cell: 6.1431 6.1431 6.1431 Å, 90.00 90.00 90.00°
Last column: nearest neighbours and their distance in Å.
Space group Fm-3m (No. 225)
Symmetry-distinct sites (fractional):
1 Ta 0.2500 0.2500 0.2500 x8  4 Pd 2.66, 4 N 2.66
2 Pd 0.0000 0.0000 0.0000 x4  8 Ta 2.66
3 N 0.0000 0.0000 0.5000 x4  8 Ta 2.66

=====

S | A plane-wave DFT calculation with PBE was carried out for a relaxed Ta2PdN crystal.

Output
**Crystal system**: trigonal
**Fermi-level density of states**: 0.50 states/eV per atom

Cell: 3.1080 3.1080 20.4613 Å, 90.00 90.00 120.00°
Last column: nearest neighbours and their distance in Å.
Space group R-3m (No. 166, hexagonal axes)
Symmetry-distinct sites (fractional):
1 Ta 0.0000 0.0000 0.2250 x6  3 N 2.16
2 Pd 0.0000 0.0000 0.0000 x3  6 Ta 2.85, 6 Pd 3.11
3 N 0.0000 0.0000 0.5000 x3  6 Ta 2.16

=====

Of them, R has the lowest stability.

=====

P | A plane-wave DFT calculation with PBE was carried out for a relaxed TcPdN2 crystal.

Output
**Crystal system**: trigonal
**Fermi-level density of states**: 0.25 states/eV per atom

Cell: 2.8431 2.8431 19.5548 Å, 90.00 90.00 120.00°
Last column: nearest neighbours and their distance in Å.
Space group R-3m (No. 166, hexagonal axes)
Symmetry-distinct sites (fractional):
1 Tc 0.0000 0.0000 0.0000 x3  6 N 2.07
2 Pd 0.0000 0.0000 0.5000 x3  2 N 2.00
3 N 0.0000 0.0000 0.3979 x6  1 Pd 2.00, 3 Tc 2.07

=====

Q | A plane-wave DFT calculation with PBE was carried out for a relaxed TcPdN2 crystal.

Output
**Crystal system**: cubic
**Fermi-level density of states**: 1.11 states/eV per atom

Cell: 5.4447 5.4447 5.4447 Å, 90.00 90.00 90.00°
Last column: nearest neighbours and their distance in Å.
Space group Fm-3m (No. 225)
Symmetry-distinct sites (fractional):
1 Tc 0.0000 0.0000 0.0000 x4  8 N 2.36
2 Pd 0.0000 0.0000 0.5000 x4  8 N 2.36
3 N 0.2500 0.2500 0.2500 x8  4 Tc 2.36, 4 Pd 2.36

=====

R | A plane-wave DFT calculation with PBE was carried out for a relaxed TcPdN2 crystal.

Output
**Crystal system**: tetragonal
**Fermi-level density of states**: 0.96 states/eV per atom

Cell: 4.7511 4.7511 9.1705 Å, 90.00 90.00 90.00°
Last column: nearest neighbours and their distance in Å.
Space group I-42d (No. 122)
Symmetry-distinct sites (fractional):
1 Tc 0.0000 0.0000 0.0000 x4  4 N 1.91
2 Pd 0.0000 0.0000 0.5000 x4  4 N 2.18
3 N 0.2013 0.2500 0.1250 x8  2 Tc 1.91

=====

Of them, Q has the lowest stability.

=====

P | A plane-wave DFT calculation with PBE was carried out for a relaxed Tc3PdN crystal.

Output
**Crystal system**: cubic
**Fermi-level density of states**: 1.09 states/eV per atom

Cell: 4.9315 4.9315 4.9315 Å, 90.00 90.00 90.00°
Last column: nearest neighbours and their distance in Å.
Space group Pm-3m (No. 221)
Symmetry-distinct sites (fractional):
1 Tc 0.0000 0.0000 0.5000 x3  2 Pd 2.47
2 Pd 0.0000 0.0000 0.0000 x1  6 Tc 2.47
3 N 0.5000 0.5000 0.5000 x1  12 Tc 3.49

=====

Q | A plane-wave DFT calculation with PBE was carried out for a relaxed Tc3PdN crystal.

Output
**Crystal system**: cubic
**Fermi-level density of states**: 0.73 states/eV per atom

Cell: 4.0435 4.0435 4.0435 Å, 90.00 90.00 90.00°
Last column: nearest neighbours and their distance in Å.
Space group Pm-3m (No. 221)
Symmetry-distinct sites (fractional):
1 Tc 0.0000 0.0000 0.5000 x3  2 N 2.02
2 Pd 0.5000 0.5000 0.5000 x1  12 Tc 2.86
3 N 0.0000 0.0000 0.0000 x1  6 Tc 2.02

=====

Of them, P has the lowest stability.

=====

P | A plane-wave DFT calculation with PBE was carried out for a relaxed TePdN crystal.

Output
**Crystal system**: monoclinic
**Fermi-level density of states**: 0.30 states/eV per atom

Cell: 12.6134 3.6876 6.7961 Å, 90.00 91.45 90.00°
Last column: nearest neighbours and their distance in Å.
Space group P2_1/c (No. 14)
Symmetry-distinct sites (fractional):
1 Te 0.1589 0.2500 0.1322 x4  5 Pd 2.78-2.80
2 Pd 0.0631 0.7500 0.3778 x4  5 Te 2.78-2.80, 4 Pd 2.97
3 N 0.4662 0.5502 0.4534 x4  1 N 1.11

=====

Q | A plane-wave DFT calculation with PBE was carried out for a relaxed TePdN crystal.

Output
**Crystal system**: monoclinic
**Fermi-level density of states**: 0.43 states/eV per atom

Cell: 5.7648 3.2493 5.9374 Å, 90.00 116.47 90.00°
Last column: nearest neighbours and their distance in Å.
Space group P2_1/m (No. 11)
Symmetry-distinct sites (fractional):
1 Te 0.2284 0.2500 0.2517 x2  3 N 2.16-2.24
2 Pd 0.3997 0.2500 0.7767 x2  1 N 2.12
3 N 0.0687 0.2500 0.8457 x2  1 Pd 2.12, 3 Te 2.16-2.24

=====

Of them, Q has the lowest stability.

=====

P | A plane-wave DFT calculation with PBE was carried out for a relaxed TePd3N crystal.

Output
**Crystal system**: cubic
**Fermi-level density of states**: 0.67 states/eV per atom

Cell: 4.2880 4.2880 4.2880 Å, 90.00 90.00 90.00°
Last column: nearest neighbours and their distance in Å.
Space group Pm-3m (No. 221)
Symmetry-distinct sites (fractional):
1 Te 0.0000 0.0000 0.0000 x1  12 Pd 3.03
2 Pd 0.0000 0.5000 0.5000 x3  2 N 2.14
3 N 0.5000 0.5000 0.5000 x1  6 Pd 2.14

=====

Q | A plane-wave DFT calculation with PBE was carried out for a relaxed TePd3N crystal.

Output
**Crystal system**: cubic
**Fermi-level density of states**: 0.71 states/eV per atom

Cell: 5.0208 5.0208 5.0208 Å, 90.00 90.00 90.00°
Last column: nearest neighbours and their distance in Å.
Space group Pm-3m (No. 221)
Symmetry-distinct sites (fractional):
1 Te 0.0000 0.0000 0.0000 x1  6 Pd 2.51
2 Pd 0.0000 0.0000 0.5000 x3  2 Te 2.51
3 N 0.5000 0.5000 0.5000 x1  12 Pd 3.55

=====

Of them, Q has the lowest stability.

=====

P | A plane-wave DFT calculation with PBE was carried out for a relaxed TiTe2PdN crystal.

Output
**Crystal system**: tetragonal
**Fermi-level density of states**: 0.74 states/eV per atom

Cell: 5.4854 5.4854 3.6520 Å, 90.00 90.00 90.00°
Last column: nearest neighbours and their distance in Å.
Space group P4/mmm (No. 123)
Symmetry-distinct sites (fractional):
1 Ti 0.0000 0.0000 0.0000 x1  2 N 1.83
2 Te 0.0000 0.5000 0.0000 x2  2 Ti 2.74
3 Pd 0.5000 0.5000 0.5000 x1  8 Te 3.29, 2 Pd 3.65
4 N 0.0000 0.0000 0.5000 x1  2 Ti 1.83

=====

Q | A plane-wave DFT calculation with PBE was carried out for a relaxed TiTe2PdN crystal.

Output
**Crystal system**: tetragonal
**Fermi-level density of states**: 0.92 states/eV per atom

Cell: 5.4788 5.4788 3.7111 Å, 90.00 90.00 90.00°
Last column: nearest neighbours and their distance in Å.
Space group P4/mmm (No. 123)
Symmetry-distinct sites (fractional):
1 Ti 0.0000 0.0000 0.0000 x1  8 Te 3.31
2 Te 0.0000 0.5000 0.5000 x2  2 Pd 2.74
3 Pd 0.5000 0.5000 0.5000 x1  2 N 1.86
4 N 0.5000 0.5000 0.0000 x1  2 Pd 1.86

=====

Of them, Q has the lowest stability.